LaGePt2 (GGA-PBE, relaxed); VASP energy = -0.47151 Ry/atom; symmetry = Pnma, No. 62; M_tot = 0.00 μB per cell
1.0
5.969 0.000 0.000
0.000 7.026 0.000
0.000 0.000 7.717
Pt Ge La
8 4 4
direct
0.082 0.551 0.819 Pt
0.918 0.449 0.181 Pt
0.082 0.949 0.819 Pt
0.918 0.051 0.181 Pt
0.418 0.949 0.319 Pt
0.582 0.051 0.681 Pt
0.582 0.449 0.681 Pt
0.418 0.551 0.319 Pt
0.851 0.250 0.875 Ge
0.351 0.750 0.625 Ge
0.149 0.750 0.125 Ge
0.649 0.250 0.375 Ge
0.151 0.250 0.526 La
0.651 0.750 0.974 La
0.349 0.250 0.026 La
0.849 0.750 0.474 La

MoSe2Br (GGA-PBE, relaxed); offset from the most stable computed form = 1064 meV/atom; energy relative to the elements, uncorrected = 0.78 eV per atom; VASP energy = -0.30034 Ry/atom; symmetry = P4/mmm, No. 123; M_tot = 1.99 μB per cell
1.0
4.978 0.000 0.000
0.000 4.978 0.000
0.000 0.000 3.192
Mo Se Br
1 2 1
direct
0.000 0.500 0.500 Mo
0.500 0.500 0.000 Se
0.000 0.000 0.000 Se
0.500 0.000 0.500 Br

Ho3Co2Rh (GGA-PBE, relaxed); VASP energy = -0.46282 Ry/atom; symmetry = P4/mmm, No. 123; M_tot = 0.66 μB per cell
1.0
-1.857 -2.101 -1.835
-1.415 -1.190 2.795
-7.219 6.979 -0.684
Ho Co Rh
3 2 1
direct
0.000 0.000 0.673 Ho
0.000 0.000 0.327 Ho
0.000 0.000 0.000 Ho
0.500 0.500 0.835 Co
0.500 0.500 0.165 Co
0.500 0.500 0.500 Rh

Ni3P4 (GGA-PBE, relaxed); offset from the most stable computed form = 0 meV/atom; VASP energy = -0.40638 Ry/atom; symmetry = I4/mmm, No. 139; M_tot = 0.00 μB per cell
1.0
8.284 3.006 -1.802
6.299 6.405 0.462
-6.548 -5.578 2.630
P Ni
4 3
direct
0.836 0.836 0.000 P
0.164 0.164 0.000 P
0.435 0.435 0.000 P
0.565 0.565 0.000 P
0.000 0.000 0.000 Ni
0.296 0.296 0.000 Ni
0.704 0.704 0.000 Ni

Li2Al2Ag5 (GGA-PBE, relaxed); VASP energy = -0.21150 Ry/atom; symmetry = Cmce, No. 64; M_tot = 0.00 μB per cell
1.0
-1.399 -5.035 -4.292
0.224 -4.473 5.175
-6.558 3.130 -1.535
Ag Li Al
10 4 4
direct
0.830 0.806 0.272 Ag
0.170 0.466 0.272 Ag
0.500 0.500 0.000 Ag
0.330 0.694 0.728 Ag
0.170 0.194 0.728 Ag
0.670 0.306 0.272 Ag
0.330 0.966 0.272 Ag
0.000 0.000 0.000 Ag
0.830 0.534 0.728 Ag
0.670 0.034 0.728 Ag
0.370 0.132 0.000 Li
0.630 0.868 0.000 Li
0.870 0.368 0.000 Li
0.130 0.632 0.000 Li
0.500 0.706 0.412 Al
0.000 0.206 0.412 Al
0.000 0.794 0.588 Al
0.500 0.294 0.588 Al

TbSc3Hg4 (GGA-PBE, relaxed); VASP energy = -0.26002 Ry/atom; symmetry = P4/mmm, No. 123; M_tot = 1.13 μB per cell
1.0
5.019 0.000 0.000
0.000 7.275 0.000
0.000 0.000 10.036
Tb Sc Hg
2 6 8
direct
0.000 0.500 0.000 Tb
0.000 0.500 0.500 Tb
0.501 0.500 0.750 Sc
0.499 0.000 0.250 Sc
0.499 0.500 0.250 Sc
0.000 0.000 0.000 Sc
0.501 0.000 0.750 Sc
0.000 0.000 0.500 Sc
0.001 0.237 0.750 Hg
0.500 0.763 0.000 Hg
0.999 0.237 0.250 Hg
0.001 0.763 0.750 Hg
0.500 0.237 0.000 Hg
0.500 0.237 0.500 Hg
0.999 0.763 0.250 Hg
0.500 0.763 0.500 Hg

BaSr4Mg4 (GGA-PBE, relaxed); VASP energy = -0.11248 Ry/atom; symmetry = P4_2/n, No. 86; M_tot = 0.00 μB per cell
1.0
6.977 0.000 0.000
0.000 11.100 0.000
0.000 0.000 11.100
Mg Sr Ba
8 8 2
direct
0.376 0.645 0.779 Mg
0.124 0.855 0.721 Mg
0.124 0.145 0.279 Mg
0.624 0.221 0.645 Mg
0.876 0.279 0.855 Mg
0.876 0.721 0.145 Mg
0.624 0.779 0.355 Mg
0.376 0.355 0.221 Mg
0.380 0.665 0.095 Sr
0.620 0.905 0.665 Sr
0.380 0.335 0.905 Sr
0.120 0.165 0.595 Sr
0.880 0.595 0.835 Sr
0.120 0.835 0.405 Sr
0.880 0.405 0.165 Sr
0.620 0.095 0.335 Sr
0.000 0.000 0.000 Ba
0.500 0.500 0.500 Ba

KYPb2I8 (GGA-PBE, relaxed); energy relative to the elements, uncorrected = -1.00 eV per atom; VASP energy = -0.24100 Ry/atom; symmetry = P-1, No. 2; M_tot = 0.00 μB per cell
1.0
7.796 0.042 -0.004
0.090 7.357 -0.004
0.008 0.017 9.727
I Y K Pb
8 1 1 2
direct
0.362 0.268 0.500 I
0.674 0.765 0.000 I
0.847 0.245 0.779 I
0.326 0.235 0.000 I
0.153 0.755 0.221 I
0.847 0.244 0.221 I
0.638 0.732 0.500 I
0.153 0.756 0.779 I
0.000 0.000 0.000 Y
0.000 0.000 0.500 K
0.500 0.500 0.751 Pb
0.500 0.500 0.249 Pb

Question: Look up the VASP energy of the second one.
Answer: -0.30034 Ry/atom